Compound: Li3SiAu
Source: Alexandria via LeMat-Bulk
Functional: PBE
Structure: optimized geometry

Unit cell a=4.6939 b=4.6939 c=4.6939 alpha=90.00 beta=90.00 gamma=90.00
Atoms (fractional coordinates):
Li 0.0000 0.5000 0.0000
Li 0.5000 0.0000 0.0000
Li 0.0000 0.0000 0.5000
Au 0.5000 0.5000 0.5000
Si 0.0000 0.0000 0.0000

## Properties
**Formation energy without anion corrections**: 0.25 eV/atom
**Space group**: Pm-3m, No. 221
**Distance to the lowest polymorph of the same formula**: 617.5 meV/atom
**Total energy**: -13.17 eV for the cell shown
**Total magnetization**: 0.00 μB/f.u.